# Sr4In5Sn6 | Alexandria | PBE | optimized geometry
# - formation energy (eV per atom) = -0.391
# - crystal system = orthorhombic
# - spin magnetization (μB per cell) = 0.0
# - D(E_F) (states/eV/f.u.) = 5.03
data_Sr4In5Sn6
_symmetry_space_group_name_H-M 'C m c 21'
_symmetry_Int_Tables_number 36
_symmetry_space_group_name_Hall 'C 2c -2'
_cell_length_a 4.882
_cell_length_b 22.054
_cell_length_c 17.768
_cell_angle_alpha 90.00
_cell_angle_beta 90.00
_cell_angle_gamma 90.00
loop_
_atom_site_label
_atom_site_fract_x
_atom_site_fract_y
_atom_site_fract_z
Sr1 0.000 0.018 0.000
Sr2 0.000 0.043 0.274
Sr3 0.000 0.155 0.805
Sr4 0.000 0.182 0.451
In1 0.000 0.155 0.134
In2 0.000 0.306 0.121
In3 0.000 0.340 0.783
In4 0.000 0.360 0.479
In5 0.000 0.444 0.189
Sn1 0.000 0.106 0.613
Sn2 0.000 0.214 0.985
Sn3 0.000 0.238 0.270
Sn4 0.000 0.423 0.918
Sn5 0.000 0.426 0.635
Sn6 0.000 0.453 0.357

=====

# SrIn2Sn2 | Alexandria | PBE | optimized geometry
# - formation energy (eV per atom) = -0.245
# - crystal system = tetragonal
# - spin magnetization (μB per cell) = 0.0
# - D(E_F) (states/eV/f.u.) = 2.54
data_SrIn2Sn2
_symmetry_space_group_name_H-M 'I 4/m m m'
_symmetry_Int_Tables_number 139
_symmetry_space_group_name_Hall '-I 4 2'
_cell_length_a 5.320
_cell_length_b 5.320
_cell_length_c 11.063
_cell_angle_alpha 90.00
_cell_angle_beta 90.00
_cell_angle_gamma 90.00
loop_
_atom_site_label
_atom_site_fract_x
_atom_site_fract_y
_atom_site_fract_z
Sr1 0.000 0.000 0.000
In1 0.000 0.000 0.374
Sn1 0.000 0.500 0.250

=====

# SrIn2Sn6 | Alexandria | PBE | optimized geometry
# - formation energy (eV per atom) = -0.035
# - crystal system = monoclinic
# - spin magnetization (μB per cell) = 0.0
# - D(E_F) (states/eV/f.u.) = 2.31
data_SrIn2Sn6
_symmetry_space_group_name_H-M 'C 1 2/c 1'
_symmetry_Int_Tables_number 15
_symmetry_space_group_name_Hall '-C 2yc'
_cell_length_a 9.019
_cell_length_b 31.605
_cell_length_c 4.632
_cell_angle_alpha 90.00
_cell_angle_beta 108.36
_cell_angle_gamma 90.00
loop_
_atom_site_label
_atom_site_fract_x
_atom_site_fract_y
_atom_site_fract_z
Sr1 0.000 0.174 0.250
In1 0.110 0.356 0.556
Sn1 0.153 0.263 0.692
Sn2 0.168 0.472 0.927
Sn3 0.204 0.111 0.849

=====

# SrInSn | Alexandria | PBE | optimized geometry
# - formation energy (eV per atom) = -0.014
# - crystal system = tetragonal
# - spin magnetization (μB per cell) = 0.0
# - D(E_F) (states/eV/f.u.) = 2.59
data_SrInSn
_symmetry_space_group_name_H-M 'I 4 m m'
_symmetry_Int_Tables_number 107
_symmetry_space_group_name_Hall 'I 4 -2'
_cell_length_a 3.523
_cell_length_b 3.523
_cell_length_c 17.158
_cell_angle_alpha 90.00
_cell_angle_beta 90.00
_cell_angle_gamma 90.00
loop_
_atom_site_label
_atom_site_fract_x
_atom_site_fract_y
_atom_site_fract_z
Sr1 0.000 0.000 0.000
In1 0.000 0.000 0.806
Sn1 0.000 0.000 0.637

=====

# Sr2In6Sn | Alexandria | PBE | optimized geometry
# - formation energy (eV per atom) = -0.301
# - crystal system = trigonal
# - spin magnetization (μB per cell) = 0.0
# - D(E_F) (states/eV/f.u.) = 5.84
data_Sr2In6Sn
_symmetry_space_group_name_H-M 'P -3 m 1'
_symmetry_Int_Tables_number 164
_symmetry_space_group_name_Hall '-P 3 2"'
_cell_length_a 6.7766
_cell_length_b 6.7766
_cell_length_c 6.6937
_cell_angle_alpha 90.00
_cell_angle_beta 90.00
_cell_angle_gamma 120.00
loop_
_atom_site_label
_atom_site_fract_x
_atom_site_fract_y
_atom_site_fract_z
Sr1 0.3333 0.6667 0.3617
In1 0.1791 0.3582 0.8349
Sn1 0.0000 0.0000 0.5000

=====

# SrIn8Sn4 | Alexandria | PBE | optimized geometry
# - formation energy (eV per atom) = -0.019
# - crystal system = trigonal
# - spin magnetization (μB per cell) = 0.0
# - D(E_F) (states/eV/f.u.) = 5.04
data_SrIn8Sn4
_symmetry_space_group_name_H-M 'R -3 m'
_symmetry_Int_Tables_number 166
_symmetry_space_group_name_Hall '-R 3 2"'
_cell_length_a 6.8465
_cell_length_b 6.8465
_cell_length_c 29.8538
_cell_angle_alpha 90.00
_cell_angle_beta 90.00
_cell_angle_gamma 120.00
loop_
_atom_site_label
_atom_site_fract_x
_atom_site_fract_y
_atom_site_fract_z
Sr1 0.0000 0.0000 0.0000
In1 0.0000 0.0000 0.2413
In2 0.0059 0.5029 0.7585
Sn1 0.0000 0.0000 0.5000
Sn2 0.0000 0.5000 0.0000

=====

# Sr2InSn | Alexandria | PBE | optimized geometry
# - formation energy (eV per atom) = -0.512
# - crystal system = tetragonal
# - spin magnetization (μB per cell) = 0.0
# - D(E_F) (states/eV/f.u.) = 1.57
data_Sr2InSn
_symmetry_space_group_name_H-M 'P 4/m m m'
_symmetry_Int_Tables_number 123
_symmetry_space_group_name_Hall '-P 4 2'
_cell_length_a 5.495
_cell_length_b 5.495
_cell_length_c 4.433
_cell_angle_alpha 90.00
_cell_angle_beta 90.00
_cell_angle_gamma 90.00
loop_
_atom_site_label
_atom_site_fract_x
_atom_site_fract_y
_atom_site_fract_z
Sr1 0.000 0.500 0.000
In1 0.000 0.000 0.500
Sn1 0.500 0.500 0.500

=====

# Sr4InSn | Alexandria | PBE | optimized geometry
# - formation energy (eV per atom) = -0.404
# - crystal system = cubic
# - spin magnetization (μB per cell) = 3.5
# - D(E_F) (states/eV/f.u.) = 3.81
data_Sr4InSn
_symmetry_space_group_name_H-M 'F -4 3 m'
_symmetry_Int_Tables_number 216
_symmetry_space_group_name_Hall 'F -4 2 3'
_cell_length_a 15.734
_cell_length_b 15.734
_cell_length_c 15.734
_cell_angle_alpha 90.00
_cell_angle_beta 90.00
_cell_angle_gamma 90.00
loop_
_atom_site_label
_atom_site_fract_x
_atom_site_fract_y
_atom_site_fract_z
Sr1 0.000 0.000 0.194
Sr2 0.046 0.250 0.750
Sr3 0.104 0.104 0.396
In1 0.174 0.174 0.174
Sn1 0.111 0.111 0.611